Record 1
The following is a PBE-GGA calculation of a geometry-optimized PuAuO6 structure, from Alexandria via LeMat-Bulk.

extended XYZ file:
```
8
Lattice="5.251 0.000 0.000 -2.329 5.100 0.000 -0.947 -2.439 5.231" Properties=species:S:1:pos:R:3 pbc="T T T"
Pu 0.000 0.000 0.000
Au 0.987 1.330 2.616
O -0.622 1.391 1.450
O -0.260 -1.087 4.269
O 1.669 0.037 1.256
O 0.306 2.624 3.975
O 2.235 3.747 0.962
O 2.597 1.270 3.781
```

Properties
Symmetry: No. 2
ΔE_f (raw), eV/atom: -0.997
Fermi-level density of states, states/eV/atom: 0.866


Record 2
The following is a PBE-GGA calculation of a geometry-optimized KV2Br structure, from Alexandria via LeMat-Bulk.

extended XYZ file:
```
16
Lattice="4.419 0.000 0.000 0.000 4.419 0.000 0.000 0.000 20.828" Properties=species:S:1:pos:R:3 pbc="T T T"
K 0.000 0.000 0.000
K 0.000 2.210 5.207
K 2.210 0.000 15.621
K 2.210 2.210 10.414
V 0.106 1.105 13.017
V 1.105 2.316 18.224
V 1.105 4.313 7.810
V 2.103 1.105 2.603
V 2.316 3.314 2.603
V 3.314 0.106 7.810
V 3.314 2.103 18.224
V 4.313 3.314 13.017
Br 0.000 0.000 10.414
Br 0.000 2.210 15.621
Br 2.210 0.000 5.207
Br 2.210 2.210 0.000
```

Properties
Symmetry: No. 122
ΔE_f (raw), eV/atom: 0.840
Polymorph energy (0 for the lowest one), eV per atom: 0.000
Fermi-level density of states, states/eV/atom: 0.991


Record 3
The following is a PBE-GGA calculation of a geometry-optimized Sr2InMo structure, from Alexandria via LeMat-Bulk.

extended XYZ file:
```
8
Lattice="5.488 0.000 0.000 0.000 5.488 0.000 0.000 0.000 7.807" Properties=species:S:1:pos:R:3 pbc="T T T"
Sr 0.000 0.000 0.000
Sr 0.000 2.744 1.952
Sr 2.744 0.000 5.856
Sr 2.744 2.744 3.904
In 0.000 2.744 5.856
In 2.744 0.000 1.952
Mo 0.000 0.000 3.904
Mo 2.744 2.744 0.000
```

Properties
Symmetry: No. 119
Fermi-level density of states, states/eV/atom: 0.953
E_tot, eV per atom: -3.66


Record 4
The following is a PBE-GGA calculation of a geometry-optimized Dy8CS3N3 structure, from Alexandria via LeMat-Bulk.

extended XYZ file:
```
15
Lattice="3.624 2.093 6.215 -3.624 2.093 6.215 0.000 -4.185 6.215" Properties=species:S:1:pos:R:3 pbc="T T T"
Dy 0.000 0.000 4.407
Dy -1.826 -1.054 10.654
Dy 0.000 -2.108 7.992
Dy -1.826 1.054 7.992
Dy 1.826 -1.054 10.654
Dy 0.000 2.108 10.654
Dy 1.826 1.054 7.992
Dy 0.000 0.000 14.239
C 0.000 0.000 9.323
S -1.812 -1.046 6.215
S -1.812 1.046 12.431
S 0.000 2.093 6.215
N -3.624 0.000 9.323
N -1.812 1.046 3.108
N 1.812 1.046 3.108
```

Properties
Symmetry: No. 166
ΔE_f (raw), eV/atom: -1.573
Fermi-level density of states, states/eV/atom: 0.302


Record 5
The following is a PBE-GGA calculation of a geometry-optimized RuCS2Cl structure, from Alexandria via LeMat-Bulk.

extended XYZ file:
```
5
Lattice="4.516 0.000 0.000 0.000 4.516 0.000 0.000 0.000 4.952" Properties=species:S:1:pos:R:3 pbc="T T T"
Ru 0.000 0.000 0.000
C 2.258 2.258 2.476
S 0.000 2.258 0.000
S 2.258 0.000 0.000
Cl 0.000 0.000 2.476
```

Properties
Symmetry: No. 123
ΔE_f (raw), eV/atom: 1.579
Polymorph energy (0 for the lowest one), eV per atom: 0.566
Fermi-level density of states, states/eV/atom: 0.748


Record 6
The following is a PBE-GGA calculation of a geometry-optimized Er4ThHg5 structure, from Alexandria via LeMat-Bulk.

extended XYZ file:
```
10
Lattice="3.676 0.000 0.000 0.000 3.676 0.000 0.000 0.000 18.971" Properties=species:S:1:pos:R:3 pbc="T T T"
Er 0.000 0.000 1.855
Er 0.000 0.000 5.556
Er 0.000 0.000 13.415
Er 0.000 0.000 17.116
Th 0.000 0.000 9.485
Hg 1.838 1.838 0.000
Hg 1.838 1.838 3.718
Hg 1.838 1.838 7.341
Hg 1.838 1.838 11.630
Hg 1.838 1.838 15.252
```

Properties
Symmetry: No. 123
Fermi-level density of states, states/eV/atom: 0.931
E_tot, eV per atom: -3.14


Record 7
The following is a PBE-GGA calculation of a geometry-optimized MgZr2Ti structure, from Alexandria via LeMat-Bulk.

extended XYZ file:
```
12
Lattice="3.119 0.000 0.000 -1.560 2.701 0.000 0.000 0.000 30.895" Properties=species:S:1:pos:R:3 pbc="T T T"
Mg 0.000 0.000 0.000
Mg 0.000 1.801 20.596
Mg 1.560 0.900 10.298
Zr 0.000 0.000 7.575
Zr 0.000 0.000 13.032
Zr 0.000 1.801 2.734
Zr 0.000 1.801 28.172
Zr 1.560 0.900 17.873
Zr 1.560 0.900 23.330
Ti 0.000 0.000 25.749
Ti 0.000 1.801 15.451
Ti 1.560 0.900 5.153
```

Properties
Symmetry: No. 160
Fermi-level density of states, states/eV/atom: 1.096
E_tot, eV per atom: -6.56


Record 8
The following is a PBE-GGA calculation of a geometry-optimized In3BiI6 structure, from Alexandria via LeMat-Bulk.

extended XYZ file:
```
20
Lattice="8.076 0.000 0.000 0.000 9.178 0.000 -7.177 0.000 11.940" Properties=species:S:1:pos:R:3 pbc="T T T"
In 0.000 0.000 0.000
In -3.588 4.589 5.970
In -3.712 0.868 8.685
In -0.124 3.721 2.716
In 1.023 5.457 9.224
In 4.611 8.309 3.254
Bi 0.450 0.000 5.970
Bi 4.038 4.589 0.000
I -2.168 1.577 5.402
I -5.756 3.012 11.372
I -0.904 6.519 5.023
I -4.492 7.248 10.992
I 1.436 0.580 3.081
I -2.152 4.009 9.050
I 3.051 5.169 2.889
I -0.537 8.598 8.859
I 5.391 1.930 0.947
I 1.803 2.659 6.917
I 6.655 6.166 0.568
I 3.067 7.600 6.538
```

Properties
Symmetry: No. 14
ΔE_f (raw), eV/atom: -0.451


Record 9
The following is a PBE-GGA calculation of a geometry-optimized NaMn2VB structure, from Alexandria via LeMat-Bulk.

extended XYZ file:
```
5
Lattice="4.001 0.000 0.000 0.000 4.001 0.000 0.000 0.000 4.539" Properties=species:S:1:pos:R:3 pbc="T T T"
Na 0.000 0.000 0.000
Mn 0.000 2.001 2.270
Mn 2.001 0.000 2.270
V 2.001 2.001 0.000
B 0.000 0.000 2.270
```

Properties
Symmetry: No. 123
Fermi-level density of states, states/eV/atom: 0.801
E_tot, eV per atom: -6.40


Record 10
The following is a PBE-GGA calculation of a geometry-optimized MgMn2Se structure, from Alexandria via LeMat-Bulk.

extended XYZ file:
```
4
Lattice="3.436 0.000 0.000 0.000 3.436 0.000 0.000 0.000 5.744" Properties=species:S:1:pos:R:3 pbc="T T T"
Mg 0.000 0.000 0.000
Mn 0.000 0.000 2.799
Mn 1.718 1.718 1.553
Se 1.718 1.718 4.180
```

Properties
Symmetry: No. 99
ΔE_f (raw), eV/atom: 0.020
Polymorph energy (0 for the lowest one), eV per atom: 0.000
Fermi-level density of states, states/eV/atom: 0.789


Record 11
The following is a PBE-GGA calculation of a geometry-optimized Zr3Pt2 structure, from Alexandria via LeMat-Bulk.

extended XYZ file:
```
5
Lattice="4.588 0.000 0.000 -2.294 3.973 0.000 0.000 0.000 5.985" Properties=species:S:1:pos:R:3 pbc="T T T"
Zr 0.000 0.000 0.000
Zr 0.000 2.649 1.972
Zr 2.294 1.324 4.013
Pt 0.000 2.649 4.729
Pt 2.294 1.324 1.256
```

Properties
Symmetry: No. 164
Polymorph energy (0 for the lowest one), eV per atom: 0.156
Fermi-level density of states, states/eV/atom: 1.016


Record 12
The following is a PBE-GGA calculation of a geometry-optimized Ho3Ag5O12 structure, from Alexandria via LeMat-Bulk.

extended XYZ file:
```
80
Lattice="-6.499 6.499 6.499 6.499 -6.499 6.499 6.499 6.499 -6.499" Properties=species:S:1:pos:R:3 pbc="T T T"
Ho 3.249 1.625 0.000
Ho 6.499 3.249 -1.625
Ho 1.625 0.000 3.249
Ho 8.123 0.000 3.249
Ho 0.000 3.249 1.625
Ho 3.249 -1.625 6.499
Ho 3.249 8.123 0.000
Ho 6.499 3.249 4.874
Ho -1.625 6.499 3.249
Ho 4.874 6.499 3.249
Ho 0.000 3.249 8.123
Ho 3.249 4.874 6.499
Ag 0.000 0.000 0.000
Ag 3.249 3.249 -3.249
Ag 3.249 -3.249 3.249
Ag 6.499 0.000 0.000
Ag 9.748 1.625 0.000
Ag 6.499 -3.249 4.874
Ag 4.874 6.499 -3.249
Ag 4.874 0.000 3.249
Ag 3.249 4.874 0.000
Ag 6.499 3.249 1.625
Ag -3.249 3.249 3.249
Ag 0.000 6.499 0.000
Ag 0.000 0.000 6.499
Ag 3.249 3.249 3.249
Ag 0.000 3.249 4.874
Ag 3.249 1.625 6.499
Ag 1.625 6.499 3.249
Ag 1.625 0.000 9.748
Ag 0.000 9.748 1.625
Ag -3.249 4.874 6.499
O 1.961 -0.168 0.820
O 7.787 4.070 -3.418
O 8.459 0.168 0.820
O 7.787 -2.429 3.418
O 6.330 -0.820 1.961
O 9.916 -1.289 2.429
O 0.820 1.961 -0.168
O 8.927 3.081 -1.289
O 4.070 3.418 -1.289
O 5.678 1.961 0.168
O -0.168 0.820 1.961
O 3.418 -1.289 4.070
O 6.330 5.678 -1.961
O 3.418 1.289 2.429
O 4.070 -3.418 7.787
O 5.678 -1.961 6.330
O 2.429 3.418 1.289
O 7.319 4.538 0.168
O 3.418 7.787 -2.429
O 6.330 0.820 4.538
O 1.961 6.330 -0.820
O 7.787 2.429 3.081
O 1.289 2.429 3.418
O 1.961 0.168 5.678
O 4.538 6.330 0.820
O 5.210 4.070 3.081
O -1.289 4.070 3.418
O 4.538 0.168 7.319
O 0.168 5.678 1.961
O 3.081 -1.289 8.927
O -0.820 1.961 6.330
O 4.070 3.081 5.210
O 0.820 8.459 0.168
O 2.429 9.916 -1.289
O 3.081 5.210 4.070
O 0.168 0.820 8.459
O 3.081 7.787 2.429
O 6.667 5.678 4.538
O 0.820 4.538 6.330
O 2.429 3.081 7.787
O -2.429 3.418 7.787
O 5.678 4.538 6.667
O -3.418 7.787 4.070
O 0.168 7.319 4.538
O -1.289 8.927 3.081
O -1.961 6.330 5.678
O -1.289 2.429 9.916
O 4.538 6.667 5.678
```

Properties
Symmetry: No. 230
ΔE_f (raw), eV/atom: -1.152
Fermi-level density of states, states/eV/atom: 0.744


Record 13
The following is a PBE-GGA calculation of a geometry-optimized Na2P2Pd5 structure, from Alexandria via LeMat-Bulk.

extended XYZ file:
```
9
Lattice="4.202 0.000 0.000 0.000 4.202 0.000 0.000 0.000 8.325" Properties=species:S:1:pos:R:3 pbc="T T T"
Na 0.000 0.000 0.000
Na 0.000 0.000 4.163
P 2.101 2.101 1.130
P 2.101 2.101 7.195
Pd 0.000 2.101 2.189
Pd 0.000 2.101 6.136
Pd 2.101 0.000 2.189
Pd 2.101 0.000 6.136
Pd 2.101 2.101 4.163
```

Properties
Symmetry: No. 123
Fermi-level density of states, states/eV/atom: 0.481
E_tot, eV per atom: -4.81


Record 14
The following is a PBE-GGA calculation of a geometry-optimized ZrBeAl4 structure, from Alexandria via LeMat-Bulk.

extended XYZ file:
```
6
Lattice="0.000 3.709 3.709 3.709 0.000 3.709 3.709 3.709 0.000" Properties=species:S:1:pos:R:3 pbc="T T T"
Zr 0.000 0.000 0.000
Be 5.564 5.564 5.564
Al 2.783 2.783 2.783
Al 4.635 4.635 2.783
Al 4.635 2.783 4.635
Al 2.783 4.635 4.635
```

Properties
Symmetry: No. 216
Fermi-level density of states, states/eV/atom: 1.080
E_tot, eV per atom: -4.45


Record 15
The following is a PBE-GGA calculation of a geometry-optimized Cu2HgTe4 structure, from Alexandria via LeMat-Bulk.

extended XYZ file:
```
14
Lattice="6.583 0.000 0.000 -0.597 8.048 0.000 -2.990 -4.025 7.414" Properties=species:S:1:pos:R:3 pbc="T T T"
Cu 0.000 0.000 0.000
Cu -0.302 4.027 1.025
Cu -1.460 2.006 5.212
Cu 1.830 2.002 3.215
Hg 0.691 -1.798 5.679
Hg 3.384 6.246 2.755
Te -0.106 0.233 3.891
Te 1.153 6.109 0.391
Te -0.173 3.907 3.952
Te 1.450 2.087 0.625
Te 4.566 5.865 0.246
Te 3.187 0.234 4.539
Te 4.866 1.840 0.773
Te 3.117 3.904 4.478
```

Properties
Symmetry: No. 1
ΔE_f (raw), eV/atom: 0.015
Fermi-level density of states, states/eV/atom: 0.442


Record 16
The following is a PBE-GGA calculation of a geometry-optimized Rb2GeIBr6 structure, from Alexandria via LeMat-Bulk.

extended XYZ file:
```
10
Lattice="-4.127 4.127 5.652 4.127 -4.127 5.652 4.127 4.127 -5.652" Properties=species:S:1:pos:R:3 pbc="T T T"
Rb 4.127 0.000 2.826
Rb 0.000 4.127 2.826
Ge 0.000 0.000 0.000
I 0.000 0.000 5.652
Br 1.820 1.820 0.000
Br 2.307 -2.307 5.652
Br 0.000 0.000 2.588
Br 0.000 0.000 8.716
Br -2.307 2.307 5.652
Br 2.307 2.307 5.652
```

Properties
Symmetry: No. 139
ΔE_f (raw), eV/atom: -0.850
Fermi-level density of states, states/eV/atom: 0.522


Record 17
The following is a PBE-GGA calculation of a geometry-optimized ZnNiRu structure, from Alexandria via LeMat-Bulk.

extended XYZ file:
```
6
Lattice="2.644 0.000 0.000 0.000 2.644 0.000 0.000 0.000 11.084" Properties=species:S:1:pos:R:3 pbc="T T T"
Zn 0.000 0.000 0.000
Zn 1.322 1.322 5.542
Ni 0.000 0.000 3.740
Ni 1.322 1.322 9.282
Ru 0.000 0.000 7.543
Ru 1.322 1.322 2.000
```

Properties
Symmetry: No. 107
Polymorph energy (0 for the lowest one), eV per atom: 0.000
Fermi-level density of states, states/eV/atom: 0.926


Record 18
The following is a PBE-GGA calculation of a geometry-optimized CaPm2PdO5 structure, from Alexandria via LeMat-Bulk.

extended XYZ file:
```
18
Lattice="6.657 0.000 0.000 0.000 6.657 0.000 0.000 0.000 5.851" Properties=species:S:1:pos:R:3 pbc="T T T"
Ca 0.000 0.000 0.000
Ca 3.328 3.328 0.000
Pm 1.145 2.183 2.926
Pm 2.183 5.511 2.926
Pm 4.474 1.145 2.926
Pm 5.511 4.474 2.926
Pd 0.000 3.328 0.000
Pd 3.328 0.000 0.000
O 0.000 0.000 2.926
O 0.976 4.305 1.443
O 0.976 4.305 4.409
O 2.352 0.976 1.443
O 2.352 0.976 4.409
O 3.328 3.328 2.926
O 4.305 5.680 1.443
O 4.305 5.680 4.409
O 5.680 2.352 1.443
O 5.680 2.352 4.409
```

Properties
Symmetry: No. 127
ΔE_f (raw), eV/atom: -2.523
Fermi-level density of states, states/eV/atom: 0.000


Record 19
The following is a PBE-GGA calculation of a geometry-optimized Mn2CuC structure, from Alexandria via LeMat-Bulk.

extended XYZ file:
```
12
Lattice="2.824 0.000 0.000 -1.412 2.446 0.000 0.000 0.000 18.979" Properties=species:S:1:pos:R:3 pbc="T T T"
Mn 0.000 0.000 0.000
Mn 0.000 0.000 4.151
Mn 0.000 1.630 12.653
Mn 0.000 1.630 16.804
Mn 1.412 0.815 6.326
Mn 1.412 0.815 10.477
Cu 0.000 0.000 14.726
Cu 0.000 1.630 8.400
Cu 1.412 0.815 2.073
C 0.000 0.000 11.569
C 0.000 1.630 5.243
C 1.412 0.815 17.896
```

Properties
Symmetry: No. 160
Polymorph energy (0 for the lowest one), eV per atom: 0.006
Fermi-level density of states, states/eV/atom: 0.505